# Cu3AgGe

A relaxed Cu3AgGe crystal (PBE-GGA, the Alexandria database).

a b c (Å): 4.6978 4.6978 4.6978
angles (deg): 90.00 90.00 90.00
Closest atoms and distances in Å follow each position.
Space group Pm-3m (No. 221)
One atom of each set of equivalent atoms:
Cu (0.0000, 0.0000, 0.5000)  2 Ag 2.35
Ag (0.0000, 0.0000, 0.0000)  6 Cu 2.35
Ge (0.5000, 0.5000, 0.5000)  12 Cu 3.32

Summary:
calculated volume	103.7	Å³/cell
total DFT energy (no corrections)	-14.74	eV for the cell shown
polymorph energy (0 for the lowest one)	0.4753	eV/atom
DFT formation energy	1.00	eV/atom